An optimized crystal structure of ReNiRu2. Source: the Alexandria database, functional PBEsol.

Cell and atoms, written as POSCAR:
```
ReNiRu2
1.0
-1.123 0.796 2.269
-3.657 -2.560 -0.913
2.972 -3.310 1.080
Ru Ni Re
2 1 1
Cartesian
-1.803 -5.054 2.432
-1.531 -3.387 0.430
0.587 -4.183 1.757
-0.287 -1.717 2.012
```

Calculated values
- formation energy from the elements (eV/atom) = 0.11
- SG = Cm



An optimized crystal structure of InIrW2. Source: the Alexandria database, functional PBEsol.

Cell and atoms, written as POSCAR:
```
InIrW2
1.0
2.926 0.000 0.000
0.000 4.658 0.001
-1.463 -1.042 4.735
Ir W In
1 2 1
Cartesian
1.463 0.000 0.000
1.463 3.031 2.460
0.000 0.585 2.276
0.000 2.329 0.001
```

Calculated values
- formation energy from the elements (eV/atom) = 0.23
- SG = C2/m



An optimized crystal structure of Pt2SeBr. Source: the Alexandria database, functional PBEsol.

Cell and atoms, written as POSCAR:
```
Pt2SeBr
1.0
-1.572 -1.857 2.912
0.838 -3.653 0.596
4.767 -0.060 5.008
Br Se Pt
1 1 2
Cartesian
0.651 -1.519 1.856
2.487 -2.618 4.618
3.047 -4.169 6.404
4.632 -0.108 4.904
```

Calculated values
- E_form (uncorrected) (meV/atom) = -206
- SG = R3m



An optimized crystal structure of ZnBr. Source: the Alexandria database, functional PBEsol.

Cell and atoms, written as POSCAR:
```
ZnBr
1.0
3.454 0.000 0.000
0.000 5.276 0.000
0.000 -2.638 4.830
Zn Br
2 2
Cartesian
2.591 0.000 3.895
0.864 2.638 0.935
2.591 0.000 1.514
0.864 2.638 3.316
```

Calculated values
- E_form (uncorrected) (meV/atom) = -305
- SG = Cmcm



no.,density (g cm⁻³)
1,14.22
2,17.36
3,11.15
4,5.48